# TlSb2

A relaxed TlSb2 crystal (PBE, Alexandria).

Computed properties:
**SG**: Pnnm (58)
**E_form (uncorrected)**: 0.2546 eV per atom
**Mass density**: 7.14 Mg/m³
**Fermi-level density of states**: 3.34 states/eV/cell

Cell lengths 5.790, 8.112, 4.435 Å; angles 90.00, 90.00, 90.00 degrees
Atoms (fractional coordinates):
Tl 0.000 0.000 0.000
Tl 0.500 0.500 0.500
Sb 0.171 0.383 0.000
Sb 0.329 0.883 0.500
Sb 0.671 0.117 0.500
Sb 0.829 0.617 0.000